Below is a geometry-optimized Al2Sb structure, with properties calculated at the PBE level.

The structure in extended XYZ format:
```
6
Lattice="-1.8731 1.8731 9.6327 1.8731 -1.8731 9.6327 1.8731 1.8731 -9.6327" Properties=species:S:1:pos:R:3 pbc="T T T"
Al 1.8731 0.9365 0.9989
Al 1.8731 0.9365 3.8175
Al 0.0000 0.9365 5.8152
Al 0.0000 0.9365 8.6338
Sb 1.8731 -0.9365 7.2245
Sb 0.0000 2.8096 2.4082
```

Symmetry ... No. 141
VASP energy ... -0.269 Ry per atom
DOS(E_F) ... 0.40 states/eV per atom